## w
# AlRhC3, optimized geometry, DFT PBE
data_AlRhC3
_chemical_formula_sum 'Al1 Rh1 C3'
_cell_length_a 3.8591
_cell_length_b 3.8591
_cell_length_c 3.8591
_cell_angle_alpha 90.00
_cell_angle_beta 90.00
_cell_angle_gamma 90.00
_symmetry_space_group_name_H-M 'P 1'
_symmetry_Int_Tables_number 1
_symmetry_space_group_name_Hall 'P 1'
loop_
_atom_site_label
_atom_site_type_symbol
_atom_site_fract_x
_atom_site_fract_y
_atom_site_fract_z
Al1 Al 0.0000 0.0000 0.0000
Rh1 Rh 0.5000 0.5000 0.5000
C1 C 0.0000 0.0000 0.5000
C2 C 0.0000 0.5000 0.0000
C3 C 0.5000 0.0000 0.0000
# DOS(E_F): 3.0 states/eV/cell
# symmetry: Pm-3m, No. 221

=====

## x
# AlRhC3, optimized geometry, DFT PBE
data_AlRhC3
_chemical_formula_sum 'Al1 Rh1 C3'
_cell_length_a 3.9908
_cell_length_b 3.9908
_cell_length_c 3.9908
_cell_angle_alpha 90.00
_cell_angle_beta 90.00
_cell_angle_gamma 90.00
_symmetry_space_group_name_H-M 'P 1'
_symmetry_Int_Tables_number 1
_symmetry_space_group_name_Hall 'P 1'
loop_
_atom_site_label
_atom_site_type_symbol
_atom_site_fract_x
_atom_site_fract_y
_atom_site_fract_z
Al1 Al 0.0000 0.0000 0.0000
Rh1 Rh 0.5000 0.5000 0.5000
C1 C 0.0000 0.5000 0.5000
C2 C 0.5000 0.0000 0.5000
C3 C 0.5000 0.5000 0.0000
# DOS(E_F): 1.9 states/eV/cell
# symmetry: Pm-3m, No. 221

=====

Stability ranking, top entry: x; the second entry is 178 meV/atom less favorable.